(1)
A relaxed PmHoGaHg crystal, computed with PBE-GGA.

```
PmHoGaHg
1.0
3.642 0.000 0.000
0.000 3.642 0.000
0.000 0.000 7.552
Pm Ho Ga Hg
1 1 1 1
direct
0.000 0.000 0.000 Pm
0.000 0.000 0.529 Ho
0.500 0.500 0.755 Ga
0.500 0.500 0.284 Hg
```

## Properties
- Space-group type: No. 99
- E: -3.694 eV/atom
- Energy relative to the lowest polymorph listed for this composition: 0 meV per atom
- E_form: -529 meV per atom
- Total moment: 0.0 μB/f.u.



(2)
A relaxed V5Re2W crystal, computed with PBE-GGA.

```
V5Re2W
1.0
6.098 0.000 0.000
0.000 8.508 0.000
0.000 0.000 4.353
V Re W
10 4 2
direct
0.000 0.000 0.000 V
0.000 0.249 0.500 V
0.000 0.751 0.500 V
0.250 0.250 0.000 V
0.250 0.750 0.000 V
0.500 0.251 0.500 V
0.500 0.500 0.000 V
0.500 0.749 0.500 V
0.750 0.250 0.000 V
0.750 0.750 0.000 V
0.246 0.000 0.500 Re
0.254 0.500 0.500 Re
0.746 0.500 0.500 Re
0.754 0.000 0.500 Re
0.000 0.500 0.000 W
0.500 0.000 0.000 W
```

## Properties
- Space-group type: No. 65
- E: -10.673 eV/atom
- Energy relative to the lowest polymorph listed for this composition: 0 meV per atom
- E_form: -242 meV per atom
- Total moment: 0.0 μB/f.u.



(3)
A relaxed Cr2SiBr crystal, computed with PBE-GGA.

```
Cr2SiBr
1.0
3.263 0.000 0.000
0.000 5.265 0.000
-0.002 0.000 4.129
Cr Si Br
2 1 1
direct
0.000 0.000 0.000 Cr
0.493 0.500 0.370 Cr
0.499 0.000 0.484 Si
0.994 0.500 0.878 Br
```

## Properties
- Space-group type: No. 6
- E: -6.171 eV/atom
- Energy relative to the lowest polymorph listed for this composition: 268 meV per atom
- Total moment: 7.0 μB/f.u.



(4)
A relaxed TaAg2As crystal, computed with PBE-GGA.

```
TaAg2As
1.0
2.850 0.000 0.000
0.000 2.850 0.000
0.000 0.000 8.970
Ta Ag As
1 2 1
direct
0.000 0.000 0.000 Ta
0.500 0.500 0.245 Ag
0.500 0.500 0.755 Ag
0.000 0.000 0.500 As
```

## Properties
- Space-group type: No. 123
- E: -5.282 eV/atom
- E_form: 269 meV per atom
- Total moment: 0.0 μB/f.u.



(5)
A relaxed TlIn2Ir crystal, computed with PBE-GGA.

```
TlIn2Ir
1.0
3.253 0.000 0.000
-1.626 2.817 0.000
0.000 0.000 30.316
Tl In Ir
3 6 3
direct
0.000 0.000 0.000 Tl
0.333 0.667 0.667 Tl
0.667 0.333 0.333 Tl
0.000 0.000 0.527 In
0.000 0.000 0.770 In
0.333 0.667 0.194 In
0.333 0.667 0.437 In
0.667 0.333 0.103 In
0.667 0.333 0.861 In
0.000 0.000 0.261 Ir
0.333 0.667 0.927 Ir
0.667 0.333 0.594 Ir
```

## Properties
- Space-group type: No. 160
- E: -3.939 eV/atom
- Energy relative to the lowest polymorph listed for this composition: 211 meV per atom
- E_form: 237 meV per atom
- Total moment: 0.0 μB/f.u.



(6)
A relaxed LaW3Cl crystal, computed with PBE-GGA.

```
LaW3Cl
1.0
4.956 0.000 0.000
0.000 4.956 0.000
0.000 0.000 4.956
La W Cl
1 3 1
direct
0.000 0.000 0.000 La
0.000 0.000 0.500 W
0.000 0.500 0.000 W
0.500 0.000 0.000 W
0.500 0.500 0.500 Cl
```

## Properties
- Space-group type: No. 221
- E: -5.849 eV/atom
- Energy relative to the lowest polymorph listed for this composition: 1894 meV per atom
- Total moment: 0.0 μB/f.u.



(7)
A relaxed Sm2ErCo crystal, computed with PBE-GGA.

```
Sm2ErCo
1.0
3.724 0.000 0.000
0.000 11.816 0.000
0.000 0.000 9.646
Sm Er Co
8 4 4
direct
0.000 0.138 0.072 Sm
0.000 0.138 0.428 Sm
0.000 0.862 0.572 Sm
0.000 0.862 0.928 Sm
0.500 0.362 0.572 Sm
0.500 0.362 0.928 Sm
0.500 0.638 0.072 Sm
0.500 0.638 0.428 Sm
0.000 0.410 0.250 Er
0.000 0.590 0.750 Er
0.500 0.090 0.750 Er
0.500 0.910 0.250 Er
0.000 0.259 0.750 Co
0.000 0.741 0.250 Co
0.500 0.241 0.250 Co
0.500 0.759 0.750 Co
```

## Properties
- Space-group type: No. 63
- E: -5.371 eV/atom
- Energy relative to the lowest polymorph listed for this composition: 26 meV per atom
- E_form: -94 meV per atom
- Total moment: 0.0 μB/f.u.



(8)
A relaxed TlGa2Fe2 crystal, computed with PBE-GGA.

```
TlGa2Fe2
1.0
7.714 0.000 0.000
0.000 7.714 0.000
0.000 0.000 2.742
Tl Ga Fe
2 4 4
direct
0.000 0.000 0.000 Tl
0.500 0.500 0.000 Tl
0.130 0.370 0.000 Ga
0.370 0.870 0.000 Ga
0.630 0.130 0.000 Ga
0.870 0.630 0.000 Ga
0.162 0.662 0.500 Fe
0.338 0.162 0.500 Fe
0.662 0.838 0.500 Fe
0.838 0.338 0.500 Fe
```

## Properties
- Space-group type: No. 127
- E: -4.782 eV/atom
- Energy relative to the lowest polymorph listed for this composition: 78 meV per atom
- E_form: 287 meV per atom
- Total moment: 4.3 μB/f.u.



(9)
A relaxed HoThTeC crystal, computed with PBE-GGA.

```
HoThTeC
1.0
3.850 0.000 0.000
-1.925 3.334 0.000
0.000 0.000 21.864
Ho Th Te C
3 3 3 3
direct
0.000 0.000 0.000 Ho
0.333 0.667 0.667 Ho
0.667 0.333 0.333 Ho
0.000 0.000 0.792 Th
0.333 0.667 0.458 Th
0.667 0.333 0.125 Th
0.000 0.000 0.567 Te
0.333 0.667 0.234 Te
0.667 0.333 0.900 Te
0.000 0.000 0.395 C
0.333 0.667 0.061 C
0.667 0.333 0.728 C
```

## Properties
- Space-group type: No. 160
- E: -6.911 eV/atom
- Total moment: 0.5 μB/f.u.



(10)
A relaxed NaPrY2 crystal, computed with PBE-GGA.

```
NaPrY2
1.0
3.563 0.000 0.000
-1.781 3.085 0.000
0.000 0.000 38.530
Na Pr Y
3 3 6
direct
0.000 0.000 0.000 Na
0.333 0.667 0.667 Na
0.667 0.333 0.333 Na
0.000 0.000 0.500 Pr
0.333 0.667 0.167 Pr
0.667 0.333 0.833 Pr
0.000 0.000 0.091 Y
0.000 0.000 0.909 Y
0.333 0.667 0.576 Y
0.333 0.667 0.758 Y
0.667 0.333 0.242 Y
0.667 0.333 0.424 Y
```

## Properties
- Space-group type: No. 166
- E: -4.572 eV/atom
- Energy relative to the lowest polymorph listed for this composition: 38 meV per atom
- E_form: 185 meV per atom
- Total moment: 0.0 μB/f.u.



(11)
A relaxed Ba2CaGa3Au4 crystal, computed with PBE-GGA.

```
Ba2CaGa3Au4
1.0
4.731 0.000 0.000
0.000 4.731 0.000
0.000 0.000 11.358
Ba Ca Ga Au
2 1 3 4
direct
0.000 0.500 0.229 Ba
0.500 0.000 0.771 Ba
0.000 0.000 0.500 Ca
0.000 0.500 0.888 Ga
0.500 0.000 0.112 Ga
0.500 0.500 0.500 Ga
0.000 0.000 0.000 Au
0.000 0.500 0.653 Au
0.500 0.000 0.347 Au
0.500 0.500 0.000 Au
```

## Properties
- Space-group type: No. 115
- E: -3.405 eV/atom
- E_form: -601 meV per atom
- Total moment: 0.0 μB/f.u.



(12)
A relaxed SrTlAu2 crystal, computed with PBE-GGA.

```
SrTlAu2
1.0
4.310 0.000 0.000
0.000 4.538 0.000
-2.133 0.000 5.556
Sr Tl Au
1 1 2
direct
0.000 0.000 0.000 Sr
0.713 0.500 0.423 Tl
0.279 0.000 0.558 Au
0.437 0.500 0.873 Au
```

## Properties
- Space-group type: No. 6
- E: -3.117 eV/atom
- E_form: -467 meV per atom
- Total moment: 0.0 μB/f.u.